VASP calculation (GGA-PBE) on a relaxed Li2Cd6In crystal.

Unit cell a=13.738 b=10.899 c=5.303 alpha=90.00 beta=99.66 gamma=90.00
Space group C2/c (No. 15)
One atom of each set of equivalent atoms:
1 Li 0.166 0.130 0.094 [8 per cell]
2 Cd 0.057 0.117 0.529 [8 per cell]
3 Cd 0.119 0.365 0.807 [8 per cell]
4 Cd 0.230 0.383 0.352 [8 per cell]
5 In 0.000 0.364 0.250 [4 per cell]

Computed properties:
Electronic total energy: -1.443 eV per atom
E_form: -0.103 eV/atom
Energy above the most stable polymorph in this dataset: 3 meV per atom



VASP calculation (GGA-PBE) on a relaxed NaGdInPb crystal.

Unit cell a=7.631 b=7.631 c=7.631 alpha=90.00 beta=90.00 gamma=90.00
Space group F-43m (No. 216)
One atom of each set of equivalent atoms:
1 Na 0.000 0.000 0.000 [4 per cell]
2 Gd 0.000 0.000 0.500 [4 per cell]
3 In 0.250 0.250 0.250 [4 per cell]
4 Pb 0.250 0.250 0.750 [4 per cell]

Computed properties:
Electronic total energy: -5.744 eV per atom
E_form: -0.282 eV/atom